Computed, not measured: crystalline YTiP2Au at its relaxed geometry at the PBE level of DFT.

abc: 5.088 5.088 5.238
angles: 90.00 90.00 90.00
Fractional positions:
1 Ti 0.000 0.000 0.500
2 Y 0.000 0.000 0.000
3 P 0.500 0.000 0.000
4 P 0.000 0.500 0.000
5 Au 0.500 0.500 0.500

calculated volume: 27.126 Å³/atom
ΔH_f (0 K): 1.135 eV/atom
crystal system: tetragonal
total DFT energy (no corrections): -4.56 eV per atom
space-group type: P4/mmm, No. 123
total magnetic moment: 0.00 μB/f.u.